(1)
Crystalline TcSeN2O at its relaxed geometry. Source: Alexandria via LeMat-Bulk, functional PBE.

```
TcSeN2O
1.0
4.012 0.000 0.000
0.000 4.012 0.000
0.000 0.000 3.776
Tc Se N O
1 1 2 1
direct
0.000 0.000 0.000
0.500 0.500 0.500
0.000 0.500 0.000
0.500 0.000 0.000
0.000 0.000 0.500
```

Output
Density: 6.04 g/cm3
Energy relative to the elements, uncorrected: 338 kJ/mol of formula units
M_tot: 0.106 μB per atom



(2)
Crystalline Fe2CuAs at its relaxed geometry. Source: Alexandria via LeMat-Bulk, functional PBE.

```
Fe2CuAs
1.0
2.689 0.000 0.000
0.000 4.003 0.000
-0.811 0.000 4.810
Fe Cu As
2 1 1
direct
0.000 0.000 0.000
0.217 0.500 0.720
0.619 0.000 0.507
0.577 0.500 0.218
```

Output
Density: 8.02 g/cm3
Uncorrected energy: -6.272 eV per atom
M_tot: 1.271 μB per atom



(3)
Crystalline Ac3LaPr2As6 at its relaxed geometry. Source: Alexandria via LeMat-Bulk, functional PBE.

```
Ac3LaPr2As6
1.0
9.683 -2.221 0.000
9.683 2.221 0.000
-2.052 0.000 8.649
Ac La Pr As
3 1 2 6
direct
0.000 0.000 0.000
0.333 0.333 0.667
0.667 0.667 0.333
0.000 0.000 0.500
0.333 0.333 0.166
0.667 0.667 0.834
0.165 0.165 0.590
0.169 0.169 0.077
0.497 0.497 0.255
0.503 0.503 0.745
0.831 0.831 0.923
0.835 0.835 0.410
```

Output
Density: 6.92 g/cm3
Uncorrected energy: -6.052 eV per atom
M_tot: 0.000 μB per atom



(4)
Crystalline LiLaPb2 at its relaxed geometry. Source: Alexandria via LeMat-Bulk, functional PBE.

```
LiLaPb2
1.0
4.560 -2.280 0.000
4.560 2.280 0.000
-2.122 0.000 5.517
Li La Pb
1 1 2
direct
0.000 0.000 0.000
0.500 0.500 0.500
0.262 0.262 0.820
0.738 0.738 0.180
```

Output
Density: 8.11 g/cm3
Uncorrected energy: -3.974 eV per atom
M_tot: 0.000 μB per atom



(5)
Crystalline YHo5Ru3 at its relaxed geometry. Source: Alexandria via LeMat-Bulk, functional PBE.

```
YHo5Ru3
1.0
6.124 -4.491 0.000
6.124 4.491 0.000
-3.833 0.000 9.145
Y Ho Ru
2 10 6
direct
0.102 0.102 0.301
0.898 0.898 0.699
0.034 0.635 0.332
0.233 0.233 0.033
0.301 0.699 0.000
0.365 0.966 0.668
0.432 0.432 0.632
0.568 0.568 0.368
0.635 0.034 0.332
0.699 0.301 0.000
0.767 0.767 0.967
0.966 0.365 0.668
0.000 0.000 0.000
0.000 0.000 0.500
0.333 0.333 0.833
0.336 0.336 0.332
0.664 0.664 0.668
0.667 0.667 0.167
```

Output
Density: 8.03 g/cm3
Uncorrected energy: -6.573 eV per atom
M_tot: 0.000 μB per atom



(6)
Crystalline ZrRu2Rh at its relaxed geometry. Source: Alexandria via LeMat-Bulk, functional PBE.

```
ZrRu2Rh
1.0
0.000 3.171 3.171
3.171 0.000 3.171
3.171 3.171 0.000
Zr Ru Rh
1 2 1
direct
0.000 0.000 0.000
0.250 0.250 0.250
0.750 0.750 0.750
0.500 0.500 0.500
```

Output
Density: 10.32 g/cm3
Uncorrected energy: -8.632 eV per atom
M_tot: 0.000 μB per atom



(7)
Crystalline NbNiSb2I at its relaxed geometry. Source: Alexandria via LeMat-Bulk, functional PBE.

```
NbNiSb2I
1.0
5.356 0.000 0.000
0.000 5.356 0.000
0.000 0.000 5.548
Nb Ni Sb I
1 1 2 1
direct
0.000 0.000 0.000
0.500 0.500 0.500
0.000 0.500 0.000
0.500 0.000 0.000
0.000 0.000 0.500
```

Output
Density: 5.45 g/cm3
Energy relative to the elements, uncorrected: 449 kJ/mol of formula units
M_tot: 0.237 μB per atom



(8)
Crystalline GdTmIr4 at its relaxed geometry. Source: Alexandria via LeMat-Bulk, functional PBE.

```
GdTmIr4
1.0
0.000 3.787 3.787
3.787 0.000 3.787
3.787 3.787 0.000
Gd Tm Ir
1 1 4
direct
0.000 0.000 0.000
0.250 0.250 0.250
0.125 0.625 0.625
0.625 0.125 0.625
0.625 0.625 0.125
0.625 0.625 0.625
```

Output
Density: 16.74 g/cm3
Uncorrected energy: -9.803 eV per atom
M_tot: 1.174 μB per atom



(9)
Crystalline Ta2ZnHg at its relaxed geometry. Source: Alexandria via LeMat-Bulk, functional PBE.

```
Ta2ZnHg
1.0
2.956 0.000 0.000
0.000 4.243 0.000
-1.458 0.000 5.812
Ta Zn Hg
2 1 1
direct
0.000 0.000 0.000
0.375 0.500 0.746
0.607 0.500 0.218
0.745 0.000 0.484
```

Output
Density: 14.30 g/cm3
Uncorrected energy: -6.096 eV per atom
M_tot: 0.000 μB per atom



(10)
Crystalline BS3Br at its relaxed geometry. Source: Alexandria via LeMat-Bulk, functional PBE.

```
BS3Br
1.0
4.295 0.000 0.000
0.000 4.295 0.000
0.000 0.000 4.295
B S Br
1 3 1
direct
0.000 0.000 0.000
0.000 0.000 0.500
0.000 0.500 0.000
0.500 0.000 0.000
0.500 0.500 0.500
```

Output
Density: 3.92 g/cm3
Energy relative to the elements, uncorrected: 470 kJ/mol of formula units
M_tot: 0.000 μB per atom



(11)
Crystalline As3Rh at its relaxed geometry. Source: Alexandria via LeMat-Bulk, functional PBE.

```
As3Rh
1.0
-2.614 2.614 2.614
2.614 -2.614 2.614
2.614 2.614 -2.614
As Rh
3 1
direct
0.000 0.500 0.500
0.500 0.000 0.500
0.500 0.500 0.000
0.000 0.000 0.000
```

Output
Density: 7.62 g/cm3
Uncorrected energy: -5.351 eV per atom
M_tot: 0.000 μB per atom



(12)
Crystalline BaSr2Ge2 at its relaxed geometry. Source: Alexandria via LeMat-Bulk, functional PBE.

```
BaSr2Ge2
1.0
6.921 -2.126 0.000
6.921 2.126 0.000
-1.101 0.000 6.208
Ba Sr Ge
1 2 2
direct
0.000 0.000 0.000
0.354 0.354 0.418
0.646 0.646 0.582
0.283 0.283 0.901
0.717 0.717 0.099
```

Output
Density: 4.16 g/cm3
Uncorrected energy: -3.316 eV per atom
M_tot: 0.000 μB per atom



(13)
Crystalline Ho3Tm2Tl at its relaxed geometry. Source: Alexandria via LeMat-Bulk, functional PBE.

```
Ho3Tm2Tl
1.0
2.423 -7.472 0.000
2.423 7.472 0.000
0.000 0.000 4.812
Ho Tm Tl
3 2 1
direct
0.000 0.000 0.000
0.330 0.670 0.000
0.670 0.330 0.000
0.164 0.836 0.500
0.836 0.164 0.500
0.500 0.500 0.500
```

Output
Density: 9.88 g/cm3
Uncorrected energy: -4.284 eV per atom
M_tot: 0.000 μB per atom



(14)
Crystalline Cd2CuHRh at its relaxed geometry. Source: Alexandria via LeMat-Bulk, functional PBE.

```
Cd2CuHRh
1.0
4.594 0.000 0.000
0.000 4.594 0.000
0.000 0.000 3.405
Cd Cu H Rh
2 1 1 1
direct
0.000 0.500 0.000
0.500 0.000 0.000
0.000 0.000 0.500
0.500 0.500 0.000
0.500 0.500 0.500
```

Output
Density: 9.07 g/cm3
Uncorrected energy: -3.297 eV per atom
M_tot: 0.000 μB per atom



(15)
Crystalline PmPrTmTl at its relaxed geometry. Source: Alexandria via LeMat-Bulk, functional PBE.

```
PmPrTmTl
1.0
4.883 0.000 0.000
0.000 4.906 0.000
0.000 0.000 5.013
Pm Pr Tm Tl
1 1 1 1
direct
0.000 0.000 0.000
0.500 0.500 0.000
0.000 0.500 0.500
0.500 0.000 0.500
```

Output
Density: 9.11 g/cm3
Uncorrected energy: -4.281 eV per atom
M_tot: 0.000 μB per atom



(16)
Crystalline SiPSe2 at its relaxed geometry. Source: Alexandria via LeMat-Bulk, functional PBE.

```
SiPSe2
1.0
7.250 -1.666 0.000
7.250 1.666 0.000
-0.939 0.000 4.335
Si P Se
1 1 2
direct
0.000 0.000 0.000
0.396 0.396 0.211
0.599 0.599 0.892
0.857 0.857 0.549
```

Output
Density: 3.44 g/cm3
Energy relative to the elements, uncorrected: 22 kJ/mol of formula units
M_tot: 0.000 μB per atom



(17)
Crystalline TbDy4Ho15 at its relaxed geometry. Source: Alexandria via LeMat-Bulk, functional PBE.

```
TbDy4Ho15
1.0
4.980 0.000 0.000
0.000 4.980 0.000
0.000 0.000 24.903
Tb Dy Ho
1 4 15
direct
0.000 0.000 0.000
0.000 0.000 0.200
0.000 0.000 0.400
0.000 0.000 0.600
0.000 0.000 0.800
0.000 0.500 0.100
0.000 0.500 0.300
0.000 0.500 0.500
0.000 0.500 0.700
0.000 0.500 0.900
0.500 0.000 0.100
0.500 0.000 0.300
0.500 0.000 0.500
0.500 0.000 0.700
0.500 0.000 0.900
0.500 0.500 0.000
0.500 0.500 0.200
0.500 0.500 0.400
0.500 0.500 0.600
0.500 0.500 0.800
```

Output
Density: 8.83 g/cm3
Uncorrected energy: -4.566 eV per atom
M_tot: 0.000 μB per atom



(18)
Crystalline DyHo2Al6 at its relaxed geometry. Source: Alexandria via LeMat-Bulk, functional PBE.

```
DyHo2Al6
1.0
7.899 0.000 0.000
-3.950 6.841 0.000
0.000 0.000 3.457
Dy Ho Al
1 2 6
direct
0.000 0.000 0.000
0.333 0.667 0.000
0.667 0.333 0.000
0.000 0.334 0.500
0.000 0.666 0.500
0.334 0.000 0.500
0.334 0.334 0.500
0.666 0.000 0.500
0.666 0.666 0.500
```

Output
Density: 5.82 g/cm3
Uncorrected energy: -4.520 eV per atom
M_tot: 0.000 μB per atom



(19)
Crystalline BaSi2Te at its relaxed geometry. Source: Alexandria via LeMat-Bulk, functional PBE.

```
BaSi2Te
1.0
-2.416 2.416 4.663
2.416 -2.416 4.663
2.416 2.416 -4.663
Ba Si Te
1 2 1
direct
0.000 0.000 0.000
0.250 0.750 0.500
0.500 0.500 0.000
0.750 0.250 0.500
```

Output
Density: 4.90 g/cm3
Energy relative to the elements, uncorrected: 54 kJ/mol of formula units
M_tot: 0.000 μB per atom



(20)
Crystalline Nb2BRh6 at its relaxed geometry. Source: Alexandria via LeMat-Bulk, functional PBE.

```
Nb2BRh6
1.0
-1.607 3.343 6.492
1.607 -3.343 6.492
1.607 3.343 -6.492
Nb B Rh
2 1 6
direct
0.141 0.141 0.000
0.859 0.859 0.000
0.500 0.500 0.000
0.131 0.331 0.800
0.292 0.000 0.292
0.469 0.669 0.800
0.531 0.331 0.200
0.708 0.000 0.708
0.869 0.669 0.200
```

Output
Density: 9.69 g/cm3
Uncorrected energy: -8.045 eV per atom
M_tot: 0.000 μB per atom



(21)
Crystalline Hf4BeFe3 at its relaxed geometry. Source: Alexandria via LeMat-Bulk, functional PBE.

```
Hf4BeFe3
1.0
3.143 0.000 0.000
0.000 3.143 0.000
0.000 0.000 12.461
Hf Be Fe
4 1 3
direct
0.000 0.000 0.125
0.000 0.000 0.374
0.000 0.000 0.626
0.000 0.000 0.875
0.500 0.500 0.000
0.500 0.500 0.248
0.500 0.500 0.500
0.500 0.500 0.752
```

Output
Density: 12.01 g/cm3
Uncorrected energy: -8.886 eV per atom
M_tot: 0.037 μB per atom



(22)
Crystalline LaTh2P at its relaxed geometry. Source: Alexandria via LeMat-Bulk, functional PBE.

```
LaTh2P
1.0
1.943 1.122 9.604
-1.943 1.122 9.604
0.000 -2.243 9.604
La Th P
1 2 1
direct
0.000 0.000 0.000
0.560 0.560 0.560
0.771 0.771 0.771
0.166 0.166 0.166
```

Output
Density: 8.39 g/cm3
Uncorrected energy: -6.869 eV per atom
M_tot: 0.000 μB per atom



(23)
Crystalline Na2NpSnS5 at its relaxed geometry. Source: Alexandria via LeMat-Bulk, functional PBE.

```
Na2NpSnS5
1.0
1.998 -8.221 0.000
1.998 8.221 0.000
0.000 0.000 13.623
Na Np Sn S
4 2 2 10
direct
0.090 0.910 0.500
0.137 0.863 0.143
0.863 0.137 0.643
0.910 0.090 0.000
0.232 0.768 0.871
0.768 0.232 0.371
0.463 0.537 0.269
0.537 0.463 0.769
0.061 0.939 0.880
0.267 0.733 0.498
0.303 0.697 0.242
0.382 0.618 0.826
0.495 0.505 0.602
0.505 0.495 0.102
0.618 0.382 0.326
0.697 0.303 0.742
0.733 0.267 0.998
0.939 0.061 0.380
```

Output
Density: 4.17 g/cm3
Energy relative to the elements, uncorrected: -796 kJ/mol of formula units
M_tot: 0.334 μB per atom



(24)
Crystalline Lu2HgTe at its relaxed geometry. Source: Alexandria via LeMat-Bulk, functional PBE.

```
Lu2HgTe
1.0
2.018 1.165 7.790
-2.018 1.165 7.790
0.000 -2.330 7.790
Lu Hg Te
2 1 1
direct
0.248 0.248 0.248
0.752 0.752 0.752
0.500 0.500 0.500
0.000 0.000 0.000
```

Output
Density: 10.25 g/cm3
Energy relative to the elements, uncorrected: -298 kJ/mol of formula units
M_tot: 0.000 μB per atom



(25)
Crystalline YAs2IrPb at its relaxed geometry. Source: Alexandria via LeMat-Bulk, functional PBE.

```
YAs2IrPb
1.0
5.351 0.000 0.000
0.000 5.351 0.000
0.000 0.000 5.173
Y As Ir Pb
1 2 1 1
direct
0.000 0.000 0.000
0.000 0.500 0.000
0.500 0.000 0.000
0.000 0.000 0.500
0.500 0.500 0.500
```

Output
Density: 7.16 g/cm3
Uncorrected energy: -4.931 eV per atom
M_tot: 0.000 μB per atom



(26)
Crystalline Ag2SnP at its relaxed geometry. Source: Alexandria via LeMat-Bulk, functional PBE.

```
Ag2SnP
1.0
-2.048 2.048 9.720
2.048 -2.048 9.720
2.048 2.048 -9.720
Ag Sn P
4 2 2
direct
0.117 0.625 0.992
0.375 0.367 0.492
0.633 0.125 0.008
0.875 0.883 0.508
0.250 0.750 0.500
0.500 0.500 0.000
0.000 0.000 0.000
0.750 0.250 0.500
```

Output
Density: 7.44 g/cm3
Uncorrected energy: -3.551 eV per atom
M_tot: 0.000 μB per atom